# Dy6Cd5Ga

A relaxed Dy6Cd5Ga crystal (PBE, Alexandria).

```
data_Dy6Cd5Ga
_cell_length_a 5.239
_cell_length_b 15.759
_cell_length_c 7.443
_cell_angle_alpha 90.00
_cell_angle_beta 90.00
_cell_angle_gamma 90.00
_space_group_name_H-M_alt 'C m m m'
_space_group_IT_number 65
_space_group_name_Hall '-C 2 2'
loop_
_atom_site_label
_atom_site_fract_x
_atom_site_fract_y
_atom_site_fract_z
_atom_site_occupancy
Dy1 0.000 0.000 0.240 1
Dy2 0.000 0.338 0.246 1
Cd1 0.000 0.168 0.500 1
Cd2 0.000 0.173 0.000 1
Cd3 0.000 0.500 0.500 1
Ga1 0.000 0.500 0.000 1
```

Output
ρ, Mg/m³: 8.684
Energy, eV per formula unit: -39.573
Fermi-level density of states, states/eV/f.u.: 13.13
Energy relative to the elements, eV/atom: -0.36
Magnetic moment, μB per formula unit: 0.0